No. 1
Entry from Alexandria: ErCdSn after structural relaxation (PBE).

Cell lengths 5.0554, 5.0554, 8.2216 Å; angles 72.09, 72.09, 60.00 degrees
Closest atoms and distances in Å follow each position.
Positions (direct):
Er 0.4294 0.4294 0.7117  4 Cd 3.04-3.23, 3 Sn 3.19, 1 Er 3.25
Sn 0.1521 0.1521 0.5438  3 Sn 3.00, 3 Er 3.19
Er 0.5706 0.5706 0.2883  4 Cd 3.04-3.23, 3 Sn 3.19, 1 Er 3.25
Cd 0.2976 0.2976 0.1072  4 Er 3.04-3.23, 3 Cd 3.35, 1 Sn 3.36
Sn 0.8479 0.8479 0.4562  3 Sn 3.00, 3 Er 3.19
Cd 0.7024 0.7024 0.8928  4 Er 3.04-3.23, 3 Cd 3.35, 1 Sn 3.36

Computed properties:
**SG**: R-3m
**Energy of formation from the pure elements**: -0.35 eV/f.u.

=====

No. 2
Entry from Alexandria: Ti2VPt after structural relaxation (PBE).

Cell lengths 3.1996, 4.3643, 4.3643 Å; angles 90.00, 90.00, 90.00 degrees
Closest atoms and distances in Å follow each position.
Positions (direct):
Pt 0.5000 0.0000 0.0000  8 Ti 2.71
Ti 0.0000 0.5000 0.0000  4 Pt 2.71, 4 V 2.71
Ti 0.0000 0.0000 0.5000  4 V 2.71, 4 Pt 2.71
V 0.5000 0.5000 0.5000  8 Ti 2.71

Computed properties:
**Excess energy over the best structure of this formula in the dataset**: 16 meV per atom
**SG**: P4/mmm
**Energy of formation from the pure elements**: -2.09 eV/f.u.

=====

No. 3
Entry from Alexandria: LaTiAlV after structural relaxation (PBE).

Cell lengths 4.4586, 3.2562, 11.8966 Å; angles 90.00, 90.00, 90.00 degrees
Closest atoms and distances in Å follow each position.
Positions (direct):
V 0.5000 0.5000 0.9311  2 Al 2.62, 2 Ti 2.62
La 0.0000 0.0000 0.8107  4 V 3.11, 3 Al 3.15-3.24, 2 La 3.26
Al 0.0000 0.0000 0.5461  2 V 2.62, 4 Ti 2.84
Ti 0.5000 0.0000 0.1037  2 V 2.62, 4 Al 2.84
Al 0.0000 0.5000 0.0461  2 V 2.62, 4 Ti 2.84
La 0.0000 0.5000 0.3107  4 V 3.11, 3 Al 3.15-3.24, 2 La 3.26
V 0.5000 0.0000 0.4311  2 Al 2.62, 2 Ti 2.62
Ti 0.5000 0.5000 0.6037  2 V 2.62, 4 Al 2.84

Computed properties:
**Excess energy over the best structure of this formula in the dataset**: 111 meV per atom
**SG**: Amm2
**Energy of formation from the pure elements**: 0.62 eV/f.u.

=====

No. 4
Entry from Alexandria: Rb3In5Hg12 after structural relaxation (PBE).

Cell lengths 16.2347, 16.2347, 16.2347 Å; angles 109.47, 109.47, 109.47 degrees
Closest atoms and distances in Å follow each position.
Positions (direct):
Rb 0.7500 0.3750 0.1250  4 Hg 3.75
In 0.3750 0.1250 0.7500  4 Hg 2.89
In 0.5000 0.5000 0.0000  6 Hg 2.89
Hg 0.6837 0.0461 0.9906  2 In 2.89, 1 Hg 2.99
Rb 0.6250 0.2500 0.3750  4 Hg 3.75
Hg 0.5555 0.5461 0.3624  2 In 2.89, 1 Hg 2.99
Hg 0.1931 0.0555 0.0094  2 In 2.89, 1 Hg 2.99
Hg 0.6931 0.1837 0.6376  2 In 2.89, 1 Hg 2.99
Hg 0.4445 0.9906 0.3069  2 In 2.89, 1 Hg 2.99
Hg 0.0555 0.8624 0.0461  2 In 2.89, 1 Hg 2.99
In 0.8750 0.6250 0.7500  4 Hg 2.89
Rb 0.3750 0.7500 0.6250  4 Hg 3.75
In 0.5000 0.0000 0.0000  6 Hg 2.89
In 0.0000 0.0000 0.5000  6 Hg 2.89
Hg 0.1837 0.6931 0.1376  2 In 2.89, 1 Hg 2.99
Hg 0.5555 0.0094 0.6931  2 In 2.89, 1 Hg 2.99
Hg 0.0461 0.3624 0.0555  2 In 2.89, 1 Hg 2.99
Hg 0.6376 0.6837 0.6931  2 In 2.89, 1 Hg 2.99
Rb 0.1250 0.2500 0.8750  4 Hg 3.75
Hg 0.0461 0.6837 0.4906  2 In 2.89, 1 Hg 2.99
Hg 0.1931 0.1376 0.6837  2 In 2.89, 1 Hg 2.99
Hg 0.3624 0.0461 0.5555  2 In 2.89, 1 Hg 2.99
Rb 0.7500 0.8750 0.6250  4 Hg 3.75
Hg 0.1376 0.1931 0.1837  2 In 2.89, 1 Hg 2.99
Hg 0.9445 0.8069 0.4906  2 In 2.89, 1 Hg 2.99
In 0.6250 0.8750 0.2500  4 Hg 2.89
Hg 0.8624 0.8069 0.8163  2 In 2.89, 1 Hg 2.99
Hg 0.5461 0.9906 0.1837  2 In 2.89, 1 Hg 2.99
In 0.5000 0.5000 0.5000  6 Hg 2.89
In 0.8750 0.2500 0.6250  4 Hg 2.89
Hg 0.4906 0.1837 0.0461  2 In 2.89, 1 Hg 2.99
Hg 0.1376 0.9445 0.4539  2 In 2.89, 1 Hg 2.99
Hg 0.9539 0.3163 0.5094  2 In 2.89, 1 Hg 2.99
Hg 0.6376 0.9539 0.4445  2 In 2.89, 1 Hg 2.99
In 0.1250 0.7500 0.3750  4 Hg 2.89
In 0.0000 0.5000 0.0000  6 Hg 2.89
Hg 0.1837 0.4906 0.5461  2 In 2.89, 1 Hg 2.99
Hg 0.9906 0.4445 0.8069  2 In 2.89, 1 Hg 2.99
Hg 0.9445 0.1376 0.9539  2 In 2.89, 1 Hg 2.99
Hg 0.8069 0.9445 0.9906  2 In 2.89, 1 Hg 2.99
Rb 0.3750 0.6250 0.2500  4 Hg 3.75
Hg 0.0555 0.1931 0.5094  2 In 2.89, 1 Hg 2.99
Hg 0.4539 0.4445 0.1376  2 In 2.89, 1 Hg 2.99
Hg 0.8624 0.0555 0.5461  2 In 2.89, 1 Hg 2.99
Hg 0.6837 0.6376 0.1931  2 In 2.89, 1 Hg 2.99
Rb 0.1250 0.8750 0.7500  4 Hg 3.75
In 0.2500 0.8750 0.1250  4 Hg 2.89
In 0.7500 0.1250 0.8750  4 Hg 2.89
Hg 0.8069 0.8624 0.3163  2 In 2.89, 1 Hg 2.99
Hg 0.3069 0.8163 0.3624  2 In 2.89, 1 Hg 2.99
In 0.5000 0.0000 0.5000  6 Hg 2.89
In 0.3750 0.2500 0.1250  4 Hg 2.89
Hg 0.9539 0.6376 0.9445  2 In 2.89, 1 Hg 2.99
Hg 0.8163 0.3069 0.8624  2 In 2.89, 1 Hg 2.99
Hg 0.4906 0.3069 0.9445  2 In 2.89, 1 Hg 2.99
In 0.7500 0.6250 0.3750  4 Hg 2.89
Rb 0.2500 0.1250 0.3750  4 Hg 3.75
Hg 0.5094 0.8163 0.9539  2 In 2.89, 1 Hg 2.99
Rb 0.8750 0.1250 0.2500  4 Hg 3.75
In 0.1250 0.3750 0.2500  4 Hg 2.89
Hg 0.5461 0.5555 0.8624  2 In 2.89, 1 Hg 2.99
Hg 0.6931 0.5094 0.5555  2 In 2.89, 1 Hg 2.99
Hg 0.4539 0.0094 0.8163  2 In 2.89, 1 Hg 2.99
Hg 0.3163 0.9539 0.0094  2 In 2.89, 1 Hg 2.99
In 0.0000 0.0000 0.0000  6 Hg 2.89
Hg 0.9906 0.5461 0.6837  2 In 2.89, 1 Hg 2.99
In 0.2500 0.3750 0.6250  4 Hg 2.89
Hg 0.3163 0.3624 0.8069  2 In 2.89, 1 Hg 2.99
In 0.6250 0.7500 0.8750  4 Hg 2.89
Hg 0.0094 0.4539 0.3163  2 In 2.89, 1 Hg 2.99
Hg 0.3069 0.4906 0.4445  2 In 2.89, 1 Hg 2.99
Rb 0.2500 0.6250 0.8750  4 Hg 3.75
Hg 0.3624 0.3163 0.3069  2 In 2.89, 1 Hg 2.99
Hg 0.0094 0.5555 0.1931  2 In 2.89, 1 Hg 2.99
Hg 0.5094 0.6931 0.0555  2 In 2.89, 1 Hg 2.99
Rb 0.8750 0.7500 0.1250  4 Hg 3.75
Hg 0.8163 0.5094 0.4539  2 In 2.89, 1 Hg 2.99
Rb 0.6250 0.3750 0.7500  4 Hg 3.75
Hg 0.4445 0.4539 0.6376  2 In 2.89, 1 Hg 2.99
In 0.0000 0.5000 0.5000  6 Hg 2.89

Computed properties:
**SG**: Ia-3d
**Energy of formation from the pure elements**: -0.02 eV/f.u.

=====

No. 5
Entry from Alexandria: Y8Hg2Ir after structural relaxation (PBE).

Cell lengths 5.2112, 6.8688, 9.3094 Å; angles 105.98, 106.25, 90.00 degrees
Closest atoms and distances in Å follow each position.
Positions (direct):
Ir 0.5000 0.0000 0.0000  8 Y 2.84-3.08
Y 0.3454 0.0357 0.6909  1 Ir 2.84, 1 Hg 3.03
Y 0.6546 0.9643 0.3091  1 Ir 2.84, 1 Hg 3.03
Y 0.9761 0.2131 0.9522  1 Hg 3.03, 2 Ir 3.08, 3 Y 3.28-3.36
Y 0.4120 0.5690 0.8241  1 Ir 2.93
Hg 0.8146 0.2729 0.6292  5 Y 2.94-3.20
Y 0.2016 0.3124 0.4032  1 Hg 2.94
Y 0.0239 0.7869 0.0478  1 Hg 3.03, 2 Ir 3.08, 3 Y 3.28-3.36
Hg 0.1854 0.7271 0.3708  5 Y 2.94-3.20
Y 0.7984 0.6876 0.5968  1 Hg 2.94
Y 0.5880 0.4310 0.1759  1 Ir 2.93

Computed properties:
**SG**: C2/m
**Energy of formation from the pure elements**: -4.05 eV/f.u.

=====

No. 6
Entry from Alexandria: Sb4Se3O2 after structural relaxation (PBE).

Cell lengths 6.0590, 9.4834, 9.4834 Å; angles 79.29, 81.62, 81.61 degrees
Closest atoms and distances in Å follow each position.
Positions (direct):
O 0.8843 0.7104 0.6968  2 Sb 2.01-2.02
Sb 0.6591 0.6995 0.5633  2 O 2.01-2.02
Se 0.1038 0.7938 0.0135  1 Sb 2.57
Sb 0.0662 0.0549 0.7903  1 Se 2.57
O 0.3843 0.6968 0.7104  2 Sb 2.01-2.02
Se 0.6038 0.0135 0.7938  1 Sb 2.57
Se 0.7500 0.4086 0.5914  2 Sb 2.70
O 0.6157 0.3032 0.2896  2 Sb 2.01-2.02
Se 0.3962 0.9865 0.2062  1 Sb 2.57
Sb 0.8409 0.4367 0.3005  2 O 2.01-2.02
Se 0.8962 0.2062 0.9865  1 Sb 2.57
Sb 0.1591 0.5633 0.6995  2 O 2.01-2.02
Sb 0.4338 0.2097 0.9451  1 Se 2.57
Sb 0.5662 0.7903 0.0549  1 Se 2.57
Se 0.2500 0.5914 0.4086  2 Sb 2.70
Sb 0.3409 0.3005 0.4367  2 O 2.01-2.02
O 0.1157 0.2896 0.3032  2 Sb 2.01-2.02
Sb 0.9338 0.9451 0.2097  1 Se 2.57

Computed properties:
**SG**: C2/c
**Energy relative to the elements, uncorrected**: -0.4645 eV/atom

=====

No. 7
Entry from Alexandria: Ho2ThCu after structural relaxation (PBE).

Cell lengths 3.5195, 3.5195, 8.3517 Å; angles 90.00, 90.00, 90.00 degrees
Closest atoms and distances in Å follow each position.
Positions (direct):
Cu 0.5000 0.5000 0.0000  8 Ho 3.01
Ho 0.0000 0.0000 0.2020  4 Cu 3.01
Ho 0.0000 0.0000 0.7980  4 Cu 3.01
Th 0.5000 0.5000 0.5000  4 Th 3.52, 8 Ho 3.52

Computed properties:
**Excess energy over the best structure of this formula in the dataset**: 0 meV per atom
**SG**: P4/mmm
**Energy of formation from the pure elements**: -0.39 eV/f.u.

=====

No. 8
Entry from Alexandria: Ba2PuInO5 after structural relaxation (PBE).

Cell lengths 4.1562, 4.1562, 9.2172 Å; angles 90.00, 90.00, 90.00 degrees
Closest atoms and distances in Å follow each position.
Positions (direct):
O 0.5000 0.0000 0.5000  2 In 2.08
In 0.0000 0.0000 0.5000  4 O 2.08
O 0.0000 0.0000 0.7679  1 Pu 2.14
O 0.0000 0.0000 0.2321  1 Pu 2.14
Ba 0.5000 0.5000 0.7106  9 O 2.67-2.99
Ba 0.5000 0.5000 0.2894  9 O 2.67-2.99
Pu 0.0000 0.0000 0.0000  2 O 2.14
O 0.5000 0.5000 0.0000  2 Ba 2.67, 4 Pu 2.94
O 0.0000 0.5000 0.5000  2 In 2.08

Computed properties:
**SG**: P4/mmm
**Energy relative to the elements, uncorrected**: -2.2646 eV/atom

=====

No. 9
Entry from Alexandria: Mn2NiMo after structural relaxation (PBE).

Cell lengths 6.5256, 6.5256, 5.2918 Å; angles 51.93, 51.93, 90.00 degrees
Closest atoms and distances in Å follow each position.
Positions (direct):
Mn 0.3750 0.3829 0.7500  2 Ni 2.36, 2 Mo 2.43, 2 Mn 2.59
Mn 0.1329 0.6250 0.2500  2 Ni 2.36, 2 Mo 2.43, 2 Mn 2.59
Mo 0.0000 0.0000 0.0000  4 Mn 2.43, 2 Ni 2.59
Mn 0.6171 0.1250 0.2500  2 Ni 2.36, 2 Mo 2.43, 2 Mn 2.59
Mo 0.7500 0.2500 0.5000  4 Mn 2.43, 2 Ni 2.59
Ni 0.2500 0.7500 0.5000  4 Mn 2.36, 2 Mo 2.59
Ni 0.5000 0.5000 0.0000  4 Mn 2.36, 2 Mo 2.59
Mn 0.8750 0.8671 0.7500  2 Ni 2.36, 2 Mo 2.43, 2 Mn 2.59

Computed properties:
**SG**: I-42d
**Energy of formation from the pure elements**: 2.23 eV/f.u.

=====

No. 10
Entry from Alexandria: Zr3FePb after structural relaxation (PBE).

Cell lengths 4.8560, 4.8560, 4.8560 Å; angles 90.00, 90.00, 90.00 degrees
Closest atoms and distances in Å follow each position.
Positions (direct):
Zr 0.0000 0.5000 0.0000  2 Fe 2.43
Fe 0.0000 0.0000 0.0000  6 Zr 2.43
Zr 0.5000 0.0000 0.0000  2 Fe 2.43
Zr 0.0000 0.0000 0.5000  2 Fe 2.43
Pb 0.5000 0.5000 0.5000  12 Zr 3.43

Computed properties:
**Excess energy over the best structure of this formula in the dataset**: 164 meV per atom
**SG**: Pm-3m
**Energy of formation from the pure elements**: 0.20 eV/f.u.

=====

Number 1: uncorrected energy -3.2766 eV per atom. Number 2: uncorrected energy -8.2599 eV per atom. Number 3: uncorrected energy -6.2656 eV per atom. Number 4: uncorrected energy -1.0118 eV per atom. Number 5: uncorrected energy -5.9298 eV per atom. Number 6: uncorrected energy -4.5600 eV per atom. Number 7: uncorrected energy -5.2650 eV per atom. Number 8: uncorrected energy -7.3432 eV per atom. Number 9: uncorrected energy -8.1809 eV per atom. Number 10: uncorrected energy -7.5228 eV per atom.